{
  "formula": "NaSnSb",
  "functional": "SCAN",
  "state": "single point on PBEsol structure",
  "magnetic_moment_mub_per_fu": 0.000,
  "formation_energy_uncorrected_ev_per_fu": -0.81,
  "cell": [[-3.2132, 0.0099, -2.8289], [-0.6709, -1.3805, 3.9964], [-2.8513, 10.8713, 3.2768]],
  "species": ["Sb", "Sb", "Sn", "Sn", "Na", "Na"],
  "fractional_positions": [[0.3333, 0.6667, 0.8200], [0.6667, 0.3333, 0.3200], [0.0000, 0.0000, 0.1935], [0.0000, 0.0000, 0.6935], [0.3333, 0.6667, 0.5020], [0.6667, 0.3333, 0.0020]]
}